1.
Entry from Alexandria via LeMat-Bulk: a geometry-optimized P2SBrCl structure (PBE).

The value obtained for the raw total energy is -2.2289 eV/atom. The formation energy from raw total energies is 1.464 eV per atom. As for the density of states at the Fermi level: 3.71 states/eV/cell.

The structure belongs to space group P4/mmm (No. 123); the cell edges are 5.0560, 5.0560 and 4.7728 Å and the angles 90.00°, 90.00° and 90.00°. The inequivalent atoms are P at (0.0000, 0.5000, 0.0000), S at (0.0000, 0.0000, 0.5000), Br at (0.0000, 0.0000, 0.0000) and Cl at (0.5000, 0.5000, 0.5000).


2.
Entry from Alexandria via LeMat-Bulk: a geometry-optimized PSBrCl2 structure (PBE).

The value obtained for the raw total energy is -1.9085 eV/atom. The formation energy from raw total energies is 1.072 eV per atom. As for the density of states at the Fermi level: 3.02 states/eV/cell.

The structure belongs to space group P4/mmm (No. 123); the cell edges are 5.1662, 5.1662 and 5.0043 Å and the angles 90.00°, 90.00° and 90.00°. The inequivalent atoms are P at (0.0000, 0.0000, 0.0000), S at (0.5000, 0.5000, 0.0000), Br at (0.5000, 0.5000, 0.5000) and Cl at (0.0000, 0.5000, 0.5000).


3.
Entry from Alexandria via LeMat-Bulk: a geometry-optimized SbPBrCl2 structure (PBE).

The value obtained for the raw total energy is -2.2161 eV/atom. The formation energy from raw total energies is 0.764 eV per atom. As for the density of states at the Fermi level: 2.58 states/eV/cell.

The structure belongs to space group P4/mmm (No. 123); the cell edges are 5.0129, 5.0129 and 5.3250 Å and the angles 90.00°, 90.00° and 90.00°. The inequivalent atoms are Sb at (0.0000, 0.0000, 0.0000), P at (0.5000, 0.5000, 0.0000), Br at (0.5000, 0.5000, 0.5000) and Cl at (0.0000, 0.5000, 0.5000).


4.
Entry from Alexandria via LeMat-Bulk: a geometry-optimized SbPBrCl2 structure (PBE).

The value obtained for the raw total energy is -2.8108 eV/atom. The formation energy from raw total energies is 0.169 eV per atom. As for the density of states at the Fermi level: 3.14 states/eV/cell.

The structure belongs to space group P4/mmm (No. 123); the cell edges are 5.1002, 5.1002 and 5.7772 Å and the angles 90.00°, 90.00° and 90.00°. The inequivalent atoms are Sb at (0.0000, 0.0000, 0.0000), P at (0.0000, 0.0000, 0.5000), Br at (0.5000, 0.5000, 0.5000) and Cl at (0.0000, 0.5000, 0.0000).


5.
Entry from Alexandria via LeMat-Bulk: a geometry-optimized ScP2BrCl structure (PBE).

The value obtained for the raw total energy is -3.4876 eV/atom. The formation energy from raw total energies is 0.647 eV per atom. As for the density of states at the Fermi level: 2.60 states/eV/cell.

The structure belongs to space group P4/mmm (No. 123); the cell edges are 4.8805, 4.8805 and 4.8687 Å and the angles 90.00°, 90.00° and 90.00°. The inequivalent atoms are Sc at (0.0000, 0.0000, 0.0000), P at (0.0000, 0.5000, 0.5000), Br at (0.5000, 0.5000, 0.5000) and Cl at (0.5000, 0.5000, 0.0000).


6.
Entry from Alexandria via LeMat-Bulk: a geometry-optimized ScPBr2Cl structure (PBE).

The value obtained for the raw total energy is -3.3424 eV/atom. The formation energy from raw total energies is 0.044 eV per atom. As for the density of states at the Fermi level: 6.20 states/eV/cell.

The structure belongs to space group P4/mmm (No. 123); the cell edges are 5.3459, 5.3459 and 4.7334 Å and the angles 90.00°, 90.00° and 90.00°. The inequivalent atoms are Sc at (0.0000, 0.0000, 0.0000), P at (0.5000, 0.5000, 0.5000), Br at (0.0000, 0.5000, 0.5000) and Cl at (0.5000, 0.5000, 0.0000).


7.
Entry from Alexandria via LeMat-Bulk: a geometry-optimized ScP2BrCl structure (PBE).

The value obtained for the raw total energy is -4.1463 eV/atom. The formation energy from raw total energies is -0.012 eV per atom. As for the density of states at the Fermi level: 3.10 states/eV/cell.

The structure belongs to space group P4/mmm (No. 123); the cell edges are 5.1590, 5.1590 and 4.8467 Å and the angles 90.00°, 90.00° and 90.00°. The inequivalent atoms are Sc at (0.0000, 0.0000, 0.0000), P at (0.0000, 0.5000, 0.0000), Br at (0.5000, 0.5000, 0.5000) and Cl at (0.0000, 0.0000, 0.5000).


8.
Entry from Alexandria via LeMat-Bulk: a geometry-optimized P2SeBrCl structure (PBE).

The value obtained for the raw total energy is -2.6956 eV/atom. The formation energy from raw total energies is 0.869 eV per atom. As for the density of states at the Fermi level: 4.46 states/eV/cell.

The structure belongs to space group P4/mmm (No. 123); the cell edges are 5.0006, 5.0006 and 4.9710 Å and the angles 90.00°, 90.00° and 90.00°. The inequivalent atoms are P at (0.0000, 0.5000, 0.0000), Se at (0.0000, 0.0000, 0.0000), Br at (0.5000, 0.5000, 0.5000) and Cl at (0.0000, 0.0000, 0.5000).


9.
Entry from Alexandria via LeMat-Bulk: a geometry-optimized PSe2BrCl structure (PBE).

The value obtained for the raw total energy is -1.9251 eV/atom. The formation energy from raw total energies is 1.255 eV per atom. As for the density of states at the Fermi level: 6.27 states/eV/cell.

The structure belongs to space group P4/mmm (No. 123); the cell edges are 5.0676, 5.0676 and 5.0262 Å and the angles 90.00°, 90.00° and 90.00°. The inequivalent atoms are P at (0.0000, 0.0000, 0.0000), Se at (0.0000, 0.5000, 0.5000), Br at (0.5000, 0.5000, 0.0000) and Cl at (0.5000, 0.5000, 0.5000).


10.
Entry from Alexandria via LeMat-Bulk: a geometry-optimized PSe2BrCl structure (PBE).

The value obtained for the raw total energy is -2.7007 eV/atom. The formation energy from raw total energies is 0.479 eV per atom. As for the density of states at the Fermi level: 5.56 states/eV/cell.

The structure belongs to space group P4/mmm (No. 123); the cell edges are 4.8984, 4.8984 and 5.0006 Å and the angles 90.00°, 90.00° and 90.00°. The inequivalent atoms are P at (0.0000, 0.0000, 0.0000), Se at (0.0000, 0.5000, 0.0000), Br at (0.0000, 0.0000, 0.5000) and Cl at (0.5000, 0.5000, 0.5000).


11.
Entry from Alexandria via LeMat-Bulk: a geometry-optimized SiPBrCl2 structure (PBE).

The value obtained for the raw total energy is -3.1142 eV/atom. The formation energy from raw total energies is 0.126 eV per atom. As for the density of states at the Fermi level: 2.47 states/eV/cell.

The structure belongs to space group P4/mmm (No. 123); the cell edges are 4.5459, 4.5459 and 5.2001 Å and the angles 90.00°, 90.00° and 90.00°. The inequivalent atoms are Si at (0.0000, 0.0000, 0.0000), P at (0.0000, 0.0000, 0.5000), Br at (0.5000, 0.5000, 0.5000) and Cl at (0.0000, 0.5000, 0.0000).


12.
Entry from Alexandria via LeMat-Bulk: a geometry-optimized SnP2BrCl structure (PBE).

The value obtained for the raw total energy is -3.0048 eV/atom. The formation energy from raw total energies is 0.664 eV per atom. As for the density of states at the Fermi level: 4.64 states/eV/cell.

The structure belongs to space group P4/mmm (No. 123); the cell edges are 5.2403, 5.2403 and 5.1182 Å and the angles 90.00°, 90.00° and 90.00°. The inequivalent atoms are Sn at (0.0000, 0.0000, 0.0000), P at (0.0000, 0.5000, 0.0000), Br at (0.5000, 0.5000, 0.5000) and Cl at (0.0000, 0.0000, 0.5000).


13.
Entry from Alexandria via LeMat-Bulk: a geometry-optimized SnPBrCl2 structure (PBE).

The value obtained for the raw total energy is -2.8809 eV/atom. The formation energy from raw total energies is 0.075 eV per atom. As for the density of states at the Fermi level: 1.79 states/eV/cell.

The structure belongs to space group P4/mmm (No. 123); the cell edges are 5.0635, 5.0635 and 5.5999 Å and the angles 90.00°, 90.00° and 90.00°. The inequivalent atoms are Sn at (0.0000, 0.0000, 0.0000), P at (0.0000, 0.0000, 0.5000), Br at (0.5000, 0.5000, 0.5000) and Cl at (0.0000, 0.5000, 0.0000).


14.
Entry from Alexandria via LeMat-Bulk: a geometry-optimized Sr6P2Br3Cl structure (PBE).

The value obtained for the raw total energy is -3.8585 eV/atom. The formation energy from raw total energies is -1.544 eV per atom. As for the density of states at the Fermi level: 10.08 states/eV/cell.

The structure belongs to space group C2/m (No. 12); the cell edges are 19.5444, 4.4660 and 9.0033 Å and the angles 90.00°, 104.75° and 90.00°. The inequivalent atoms are Sr at (0.0094, 0.0000, 0.2482), Sr at (0.1648, 0.5000, 0.1097), Sr at (0.1753, 0.5000, 0.5587), P at (0.1638, 0.0000, 0.3263), Br at (0.0000, 0.5000, 0.5000), Br at (0.1643, 0.0000, 0.8347) and Cl at (0.0000, 0.5000, 0.0000).


15.
Entry from Alexandria via LeMat-Bulk: a geometry-optimized SrPBrCl2 structure (PBE).

The value obtained for the raw total energy is -2.8052 eV/atom. The formation energy from raw total energies is -0.314 eV per atom. As for the density of states at the Fermi level: 3.72 states/eV/cell.

The structure belongs to space group P4/mmm (No. 123); the cell edges are 5.9915, 5.9915 and 4.5758 Å and the angles 90.00°, 90.00° and 90.00°. The inequivalent atoms are Sr at (0.0000, 0.0000, 0.0000), P at (0.5000, 0.5000, 0.0000), Br at (0.5000, 0.5000, 0.5000) and Cl at (0.0000, 0.5000, 0.5000).


16.
Entry from Alexandria via LeMat-Bulk: a geometry-optimized SrPBrCl2 structure (PBE).

The value obtained for the raw total energy is -2.9550 eV/atom. The formation energy from raw total energies is -0.463 eV per atom. As for the density of states at the Fermi level: 3.16 states/eV/cell.

The structure belongs to space group P4/mmm (No. 123); the cell edges are 5.4054, 5.4054 and 9.8737 Å and the angles 90.00°, 90.00° and 90.00°. The inequivalent atoms are Sr at (0.0000, 0.0000, 0.0000), P at (0.0000, 0.0000, 0.5000), Br at (0.5000, 0.5000, 0.5000) and Cl at (0.0000, 0.5000, 0.0000).


17.
Entry from Alexandria via LeMat-Bulk: a geometry-optimized Sr6P2BrCl3 structure (PBE).

The value obtained for the raw total energy is -3.9534 eV/atom. The formation energy from raw total energies is -1.610 eV per atom. As for the density of states at the Fermi level: 10.06 states/eV/cell.

The structure belongs to space group C2/m (No. 12); the cell edges are 19.0555, 4.4431 and 8.8198 Å and the angles 90.00°, 102.49° and 90.00°. The inequivalent atoms are Sr at (0.0069, 0.0000, 0.2633), Sr at (0.1703, 0.5000, 0.1089), Sr at (0.1730, 0.5000, 0.5645), P at (0.1641, 0.0000, 0.3284), Br at (0.0000, 0.5000, 0.0000), Cl at (0.0000, 0.5000, 0.5000) and Cl at (0.1649, 0.0000, 0.8390).


18.
Entry from Alexandria via LeMat-Bulk: a geometry-optimized TiPBrCl2 structure (PBE).

The value obtained for the raw total energy is -2.7929 eV/atom. The formation energy from raw total energies is 0.941 eV per atom. As for the density of states at the Fermi level: 9.80 states/eV/cell.

The structure belongs to space group P4/mmm (No. 123); the cell edges are 4.9453, 4.9453 and 5.2404 Å and the angles 90.00°, 90.00° and 90.00°. The inequivalent atoms are Ti at (0.0000, 0.0000, 0.0000), P at (0.5000, 0.5000, 0.0000), Br at (0.5000, 0.5000, 0.5000) and Cl at (0.0000, 0.5000, 0.5000).


19.
Entry from Alexandria via LeMat-Bulk: a geometry-optimized TiPBrCl2 structure (PBE).

The value obtained for the raw total energy is -4.2266 eV/atom. The formation energy from raw total energies is -0.492 eV per atom. As for the density of states at the Fermi level: 3.53 states/eV/cell.

The structure belongs to space group P4/mmm (No. 123); the cell edges are 4.6214, 4.6214 and 5.2487 Å and the angles 90.00°, 90.00° and 90.00°. The inequivalent atoms are Ti at (0.0000, 0.0000, 0.0000), P at (0.0000, 0.0000, 0.5000), Br at (0.5000, 0.5000, 0.5000) and Cl at (0.0000, 0.5000, 0.0000).


20.
Entry from Alexandria via LeMat-Bulk: a geometry-optimized TiP2BrCl structure (PBE).

The value obtained for the raw total energy is -3.2761 eV/atom. The formation energy from raw total energies is 1.171 eV per atom. As for the density of states at the Fermi level: 5.08 states/eV/cell.

The structure belongs to space group P4/mmm (No. 123); the cell edges are 4.8565, 4.8565 and 4.8228 Å and the angles 90.00°, 90.00° and 90.00°. The inequivalent atoms are Ti at (0.0000, 0.0000, 0.0000), P at (0.0000, 0.5000, 0.5000), Br at (0.5000, 0.5000, 0.5000) and Cl at (0.5000, 0.5000, 0.0000).